The following is a GGA-PBE calculation of a geometry-optimized Ho3Mg3AlAgPt structure, from the Open Quantum Materials Database.

The structure belongs to space group P-6 (No. 174); the cell edges are 7.7464, 7.7464 and 3.9313 Å and the angles 90.00°, 90.00° and 120.00°. The asymmetric unit holds Ho at (0.0930, 0.3580, 0.0000), Mg at (0.4098, 0.3278, 0.5000), Al at (0.0000, 0.0000, 0.5000), Ag at (0.6667, 0.3333, 0.0000) and Pt at (0.3333, 0.6667, 0.5000).

For the total energy, the calculation gives -35.74 eV/cell.